1.
First-principles (PBE) data for a geometry-optimized Ga3TcGe structure, as listed in Alexandria via LeMat-Bulk.

The structure belongs to space group Pm-3m (No. 221); the cell edges are 4.821, 4.821 and 4.821 Å and the angles 90.00°, 90.00° and 90.00°. The inequivalent atoms are Ga at (0.000, 0.000, 0.500), Tc at (0.000, 0.000, 0.000) and Ge at (0.500, 0.500, 0.500).

For the formation energy from the elements, the calculation gives 0.405 eV per atom. The magnetization is 0.0 μB/f.u.

=====

2.
First-principles (PBE) data for a geometry-optimized GaTc2Ge structure, as listed in Alexandria via LeMat-Bulk.

The structure belongs to space group Immm (No. 71); the cell edges are 3.087, 4.210 and 10.353 Å and the angles 90.00°, 90.00° and 90.00°. The inequivalent atoms are Ga at (0.000, 0.000, 0.000), Tc at (0.000, 0.000, 0.256) and Ge at (0.000, 0.000, 0.500).

For the formation energy from the elements, the calculation gives 0.599 eV per atom. The magnetization is 0.0 μB/f.u.

=====

3.
First-principles (PBE) data for a geometry-optimized GaTc2Ge structure, as listed in Alexandria via LeMat-Bulk.

The structure belongs to space group Fm-3m (No. 225); the cell edges are 6.132, 6.132 and 6.132 Å and the angles 90.00°, 90.00° and 90.00°. The inequivalent atoms are Ga at (0.000, 0.000, 0.000), Tc at (0.250, 0.250, 0.250) and Ge at (0.000, 0.000, 0.500).

For the formation energy from the elements, the calculation gives -0.035 eV per atom. The magnetization is 0.0 μB/f.u.

=====

4.
First-principles (PBE) data for a geometry-optimized GaTcGe2 structure, as listed in Alexandria via LeMat-Bulk.

The structure belongs to space group P4/mmm (No. 123); the cell edges are 3.142, 3.142 and 7.063 Å and the angles 90.00°, 90.00° and 90.00°. The inequivalent atoms are Ga at (0.000, 0.000, 0.000), Tc at (0.000, 0.000, 0.500) and Ge at (0.500, 0.500, 0.300).

For the formation energy from the elements, the calculation gives 0.063 eV per atom. The magnetization is 0.0 μB/f.u.

=====

5.
First-principles (PBE) data for a geometry-optimized Ga4TcGe2 structure, as listed in Alexandria via LeMat-Bulk.

The structure belongs to space group I4/mmm (No. 139); the cell edges are 4.895, 4.895 and 13.184 Å and the angles 90.00°, 90.00° and 90.00°. The inequivalent atoms are Ga at (0.000, 0.000, 0.188), Ga at (0.000, 0.500, 0.000), Tc at (0.000, 0.000, 0.000) and Ge at (0.000, 0.000, 0.385).

For the formation energy from the elements, the calculation gives 0.378 eV per atom. The magnetization is 0.3 μB/f.u.

=====

6.
First-principles (PBE) data for a geometry-optimized GaTc2Ge structure, as listed in Alexandria via LeMat-Bulk.

The structure belongs to space group I-42d (No. 122); the cell edges are 6.842, 6.842 and 5.591 Å and the angles 90.00°, 90.00° and 90.00°. The inequivalent atoms are Ga at (0.000, 0.000, 0.000), Tc at (0.236, 0.250, 0.625) and Ge at (0.000, 0.000, 0.500).

For the formation energy from the elements, the calculation gives 0.481 eV per atom. The magnetization is 2.1 μB/f.u.

=====

7.
First-principles (PBE) data for a geometry-optimized GaTc2Ge structure, as listed in Alexandria via LeMat-Bulk.

The structure belongs to space group R-3m (No. 166, hexagonal axes); the cell edges are 2.9226, 2.9226 and 24.2493 Å and the angles 90.00°, 90.00° and 120.00°. The inequivalent atoms are Ga at (0.0000, 0.0000, 0.0000), Tc at (0.0000, 0.0000, 0.2480) and Ge at (0.0000, 0.0000, 0.5000).

For the formation energy from the elements, the calculation gives 0.017 eV per atom. The magnetization is 0.0 μB/f.u.

=====

8.
First-principles (PBE) data for a geometry-optimized GaTcGe structure, as listed in Alexandria via LeMat-Bulk.

The structure belongs to space group C2/m (No. 12); the cell edges are 13.623, 3.165 and 5.336 Å and the angles 90.00°, 112.80° and 90.00°. The inequivalent atoms are Ga at (0.181, 0.000, 0.180), Tc at (0.000, 0.000, 0.232) and Ge at (0.119, 0.500, 0.618).

For the formation energy from the elements, the calculation gives 0.081 eV per atom. The magnetization is 0.0 μB/f.u.

=====

9.
First-principles (PBE) data for a geometry-optimized GaTc2Ge4 structure, as listed in Alexandria via LeMat-Bulk.

The structure belongs to space group I4/mmm (No. 139); the cell edges are 4.870, 4.870 and 12.333 Å and the angles 90.00°, 90.00° and 90.00°. The inequivalent atoms are Ga at (0.000, 0.000, 0.000), Tc at (0.000, 0.000, 0.402), Ge at (0.000, 0.000, 0.206) and Ge at (0.000, 0.500, 0.000).

For the formation energy from the elements, the calculation gives 0.858 eV per atom. The magnetization is 0.0 μB/f.u.

=====

10.
First-principles (PBE) data for a geometry-optimized Ga2TcGe structure, as listed in Alexandria via LeMat-Bulk.

The structure belongs to space group P2_1/m (No. 11); the cell edges are 3.514, 3.495 and 10.418 Å and the angles 90.00°, 90.08° and 90.00°. The inequivalent atoms are Ga at (0.250, 0.250, 0.000), Ga at (0.250, 0.750, 0.445), Tc at (0.251, 0.750, 0.194) and Ge at (0.248, 0.750, 0.718).

For the formation energy from the elements, the calculation gives -0.123 eV per atom. The magnetization is 0.0 μB/f.u.

=====

11.
First-principles (PBE) data for a geometry-optimized Ga3TcGe structure, as listed in Alexandria via LeMat-Bulk.

The structure belongs to space group P6_3/mmc (No. 194); the cell edges are 6.4676, 6.4676 and 5.2378 Å and the angles 90.00°, 90.00° and 120.00°. The inequivalent atoms are Ga at (0.1964, 0.3927, 0.2500), Tc at (0.0000, 0.0000, 0.0000) and Ge at (0.3333, 0.6667, 0.7500).

For the formation energy from the elements, the calculation gives 0.271 eV per atom. The magnetization is 0.0 μB/f.u.

=====

12.
First-principles (PBE) data for a geometry-optimized Ga2TcGe2 structure, as listed in Alexandria via LeMat-Bulk.

The structure belongs to space group C2/m (No. 12); the cell edges are 6.369, 11.855 and 5.416 Å and the angles 90.00°, 115.12° and 90.00°. The inequivalent atoms are Ga at (0.186, 0.235, 0.235), Tc at (0.000, 0.121, 0.500), Ge at (0.219, 0.500, 0.629) and Ge at (0.222, 0.500, 0.099).

For the formation energy from the elements, the calculation gives 0.010 eV per atom. The magnetization is 0.0 μB/f.u.

=====

13.
First-principles (PBE) data for a geometry-optimized GaTcGe2 structure, as listed in Alexandria via LeMat-Bulk.

The structure belongs to space group I-42d (No. 122); the cell edges are 5.901, 5.901 and 10.796 Å and the angles 90.00°, 90.00° and 90.00°. The inequivalent atoms are Ga at (0.000, 0.000, 0.000), Tc at (0.000, 0.000, 0.500) and Ge at (0.226, 0.250, 0.625).

For the formation energy from the elements, the calculation gives 0.544 eV per atom. The magnetization is 0.0 μB/f.u.

=====

14.
First-principles (PBE) data for a geometry-optimized GaTcGe structure, as listed in Alexandria via LeMat-Bulk.

The structure belongs to space group P-6m2 (No. 187); the cell edges are 4.2009, 4.2009 and 3.2072 Å and the angles 90.00°, 90.00° and 120.00°. The inequivalent atoms are Ga at (0.0000, 0.0000, 0.0000), Tc at (0.6667, 0.3333, 0.5000) and Ge at (0.3333, 0.6667, 0.5000).

For the formation energy from the elements, the calculation gives 0.147 eV per atom. The magnetization is 0.0 μB/f.u.

=====

15.
First-principles (PBE) data for a geometry-optimized GaTc3Ge2 structure, as listed in Alexandria via LeMat-Bulk.

The structure belongs to space group C2/c (No. 15); the cell edges are 13.131, 5.316 and 5.265 Å and the angles 90.00°, 99.20° and 90.00°. The inequivalent atoms are Ga at (0.000, 0.168, 0.250), Tc at (0.000, 0.317, 0.750), Tc at (0.170, 0.001, 0.548) and Ge at (0.155, 0.493, 0.090).

For the formation energy from the elements, the calculation gives 0.085 eV per atom. The magnetization is 0.0 μB/f.u.

=====

16.
First-principles (PBE) data for a geometry-optimized GaTcGe structure, as listed in Alexandria via LeMat-Bulk.

The structure belongs to space group Fmmm (No. 69); the cell edges are 5.186, 8.544 and 8.887 Å and the angles 90.00°, 90.00° and 90.00°. The inequivalent atoms are Ga at (0.000, 0.162, 0.000), Tc at (0.250, 0.250, 0.250) and Ge at (0.000, 0.000, 0.353).

For the formation energy from the elements, the calculation gives -0.086 eV per atom. The magnetization is 0.0 μB/f.u.

=====

17.
First-principles (PBE) data for a geometry-optimized Ga3TcGe structure, as listed in Alexandria via LeMat-Bulk.

The structure belongs to space group Pm-3m (No. 221); the cell edges are 4.856, 4.856 and 4.856 Å and the angles 90.00°, 90.00° and 90.00°. The inequivalent atoms are Ga at (0.000, 0.000, 0.500), Tc at (0.500, 0.500, 0.500) and Ge at (0.000, 0.000, 0.000).

For the formation energy from the elements, the calculation gives 1.088 eV per atom. The magnetization is 3.3 μB/f.u.

=====

18.
First-principles (PBE) data for a geometry-optimized ThGaTcGe2 structure, as listed in Alexandria via LeMat-Bulk.

The structure belongs to space group Pmma (No. 51); the cell edges are 5.888, 5.691 and 5.819 Å and the angles 90.00°, 90.00° and 90.00°. The inequivalent atoms are Th at (0.250, 0.000, 0.218), Ga at (0.250, 0.500, 0.366), Tc at (0.000, 0.500, 0.000) and Ge at (0.250, 0.237, 0.730).

For the formation energy from the elements, the calculation gives -0.449 eV per atom. The magnetization is 0.0 μB/f.u.

=====

19.
First-principles (PBE) data for a geometry-optimized TiGaTcGe structure, as listed in Alexandria via LeMat-Bulk.

The structure belongs to space group F-43m (No. 216); the cell edges are 6.216, 6.216 and 6.216 Å and the angles 90.00°, 90.00° and 90.00°. The inequivalent atoms are Ti at (0.000, 0.000, 0.000), Ga at (0.250, 0.250, 0.750), Tc at (0.000, 0.000, 0.500) and Ge at (0.250, 0.250, 0.250).

For the formation energy from the elements, the calculation gives -0.251 eV per atom. The magnetization is 0.0 μB/f.u.

=====

20.
First-principles (PBE) data for a geometry-optimized Ti3Ga2Tc3Ge structure, as listed in Alexandria via LeMat-Bulk.

The structure belongs to space group P-62m (No. 189); the cell edges are 7.1236, 7.1236 and 3.1127 Å and the angles 90.00°, 90.00° and 120.00°. The inequivalent atoms are Ti at (0.0000, 0.7238, 0.0000), Ga at (0.3333, 0.6667, 0.0000), Tc at (0.0000, 0.3762, 0.5000) and Ge at (0.0000, 0.0000, 0.5000).

For the formation energy from the elements, the calculation gives -0.346 eV per atom. The magnetization is 0.0 μB/f.u.